This record from the Alexandria database describes a relaxed NdSbTe3 crystal. The functional is PBE.

a = 18.6350 Å, b = 4.4819 Å, c = 8.4971 Å
α = 90.00°, β = 98.16°, γ = 90.00°
Space group C2/m (No. 12)
Unique sites:
Nd 0.2081 0.0000 0.2441
Sb 0.0566 0.5000 0.6929
Te 0.0307 0.0000 0.2141
Te 0.1614 0.5000 0.9838
Te 0.1796 0.0000 0.6059

Summary:
Crystal system: monoclinic
D(E_F) (states/eV/cell): 1.21
Raw formation energy (kJ/mol of formula units): -326
VASP energy (eV per atom): -4.339